RbTiCd2Ni GGA-PBE optimized geometry; energy relative to the elements = 1.77 eV per atom; space group = P4/mmm
1.0
5.732 0.000 0.000
0.000 5.732 0.000
0.000 0.000 4.645
Rb Ti Cd Ni
1 1 2 1
Direct
0.000 0.000 0.000
0.500 0.500 0.500
0.000 0.500 0.000
0.500 0.000 0.000
0.000 0.000 0.500

RbTlCd2Ni GGA-PBE optimized geometry; energy relative to the elements = -0.01 eV per atom; space group = P4/mmm
1.0
5.238 0.000 0.000
0.000 5.238 0.000
0.000 0.000 5.130
Rb Tl Cd Ni
1 1 2 1
Direct
0.000 0.000 0.000
0.500 0.500 0.000
0.000 0.500 0.500
0.500 0.000 0.500
0.500 0.500 0.500

RbZnCd2Ni GGA-PBE optimized geometry; energy relative to the elements = 0.02 eV per atom; space group = P4/mmm
1.0
5.168 0.000 0.000
0.000 5.168 0.000
0.000 0.000 4.868
Rb Zn Cd Ni
1 1 2 1
Direct
0.000 0.000 0.000
0.500 0.500 0.000
0.000 0.500 0.500
0.500 0.000 0.500
0.500 0.500 0.500

CdRe2Ni GGA-PBE optimized geometry; energy relative to the elements = 0.50 eV per atom; space group = I4/mmm
1.0
-1.862 1.862 4.355
1.862 -1.862 4.355
1.862 1.862 -4.355
Cd Re Ni
1 2 1
Direct
0.000 0.000 0.000
0.250 0.750 0.500
0.750 0.250 0.500
0.500 0.500 0.000

Cd2ReNi GGA-PBE optimized geometry; energy relative to the elements = 0.23 eV per atom; space group = P4mm
1.0
2.830 0.000 0.000
0.000 2.830 0.000
0.000 0.000 8.315
Cd Re Ni
2 1 1
Direct
0.000 0.000 0.000
0.500 0.500 0.308
0.500 0.500 0.732
0.000 0.000 0.546

CdRe2Ni GGA-PBE optimized geometry; energy relative to the elements = 0.52 eV per atom; space group = P2/m
1.0
2.662 0.000 0.000
0.000 4.602 0.000
-0.942 0.000 4.971
Cd Re Ni
1 2 1
Direct
0.000 0.000 0.000
0.288 0.500 0.742
0.712 0.500 0.258
0.500 0.000 0.500

Cd2ReNi GGA-PBE optimized geometry; energy relative to the elements = 0.46 eV per atom; space group = Cmmm
1.0
1.673 -2.192 0.000
1.673 2.192 0.000
0.000 0.000 8.915
Cd Re Ni
2 1 1
Direct
0.000 0.000 0.231
0.000 0.000 0.769
0.500 0.500 0.500
0.500 0.500 0.000

Cd2Re2Ni GGA-PBE optimized geometry; energy relative to the elements = 0.77 eV per atom; space group = I4/mmm
1.0
-1.756 1.756 7.595
1.756 -1.756 7.595
1.756 1.756 -7.595
Cd Re Ni
2 2 1
Direct
0.092 0.092 0.000
0.908 0.908 0.000
0.250 0.750 0.500
0.750 0.250 0.500
0.500 0.500 0.000

Which formula does entry 8 have? Cd2Re2Ni